Record 1
# La2IrAu | Alexandria via LeMat-Bulk | PBEsol | optimized geometry
data_La2IrAu
_chemical_formula_sum 'La4 Ir2 Au2'
_cell_length_a 4.512
_cell_length_b 4.009
_cell_length_c 10.882
_cell_angle_alpha 90.00
_cell_angle_beta 90.00
_cell_angle_gamma 90.00
_symmetry_space_group_name_H-M 'A m m 2'
_symmetry_Int_Tables_number 38
loop_
_symmetry_equiv_pos_as_xyz
'x,y,z'
'-x,-y,z'
'-x,y,z'
'x,-y,z'
'x,y+1/2,z+1/2'
'-x,-y+1/2,z+1/2'
'-x,y+1/2,z+1/2'
'x,-y+1/2,z+1/2'
loop_
_atom_site_label
_atom_site_type_symbol
_atom_site_fract_x
_atom_site_fract_y
_atom_site_fract_z
La1 La 0.000 0.000 0.000
La2 La 0.500 0.000 0.277
Ir1 Ir 0.500 0.000 0.542
Au1 Au 0.000 0.000 0.718
# ΔE_f (eV per atom): -0.712

Record 2
# YTa4Mo | Alexandria via LeMat-Bulk | PBEsol | optimized geometry
data_YTa4Mo
_chemical_formula_sum 'Y4 Ta16 Mo4'
_cell_length_a 7.733
_cell_length_b 7.733
_cell_length_c 7.733
_cell_angle_alpha 90.00
_cell_angle_beta 90.00
_cell_angle_gamma 90.00
_symmetry_space_group_name_H-M 'F -4 3 m'
_symmetry_Int_Tables_number 216
_symmetry_space_group_name_Hall 'F -4 2 3'
loop_
_atom_site_label
_atom_site_type_symbol
_atom_site_fract_x
_atom_site_fract_y
_atom_site_fract_z
Y1 Y 0.000 0.000 0.000
Ta1 Ta 0.125 0.125 0.625
Mo1 Mo 0.250 0.250 0.250
# ΔE_f (eV per atom): 0.355

Record 3
# Ta5Mo2 | Alexandria via LeMat-Bulk | PBEsol | optimized geometry
data_Ta5Mo2
_chemical_formula_sum 'Ta10 Mo4'
_cell_length_a 3.214
_cell_length_b 3.214
_cell_length_c 22.867
_cell_angle_alpha 90.00
_cell_angle_beta 90.00
_cell_angle_gamma 90.00
_symmetry_space_group_name_H-M 'I 4/m m m'
_symmetry_Int_Tables_number 139
_symmetry_space_group_name_Hall '-I 4 2'
loop_
_atom_site_label
_atom_site_type_symbol
_atom_site_fract_x
_atom_site_fract_y
_atom_site_fract_z
Ta1 Ta 0.000 0.000 0.000
Ta2 Ta 0.000 0.000 0.147
Ta3 Ta 0.000 0.000 0.427
Mo1 Mo 0.000 0.000 0.283
# Polymorph energy (0 for the lowest one) (eV/atom): 0.025
# ΔE_f (eV per atom): -0.066

Record 4
# NaIrPd2Ru | Alexandria via LeMat-Bulk | PBEsol | optimized geometry
data_NaIrPd2Ru
_chemical_formula_sum 'Na1 Ir1 Pd2 Ru1'
_cell_length_a 4.310
_cell_length_b 4.310
_cell_length_c 4.578
_cell_angle_alpha 90.00
_cell_angle_beta 90.00
_cell_angle_gamma 90.00
_symmetry_space_group_name_H-M 'P 4/m m m'
_symmetry_Int_Tables_number 123
_symmetry_space_group_name_Hall '-P 4 2'
loop_
_atom_site_label
_atom_site_type_symbol
_atom_site_fract_x
_atom_site_fract_y
_atom_site_fract_z
Na1 Na 0.000 0.000 0.000
Ir1 Ir 0.000 0.000 0.500
Pd1 Pd 0.000 0.500 0.000
Ru1 Ru 0.500 0.500 0.500
# ΔE_f (eV per atom): 1.989

Record 5
# In2CuAu | Alexandria via LeMat-Bulk | PBEsol | optimized geometry
data_In2CuAu
_chemical_formula_sum 'In2 Cu1 Au1'
_cell_length_a 3.613
_cell_length_b 3.613
_cell_length_c 5.673
_cell_angle_alpha 90.00
_cell_angle_beta 90.00
_cell_angle_gamma 90.00
_symmetry_space_group_name_H-M 'P 4/m m m'
_symmetry_Int_Tables_number 123
_symmetry_space_group_name_Hall '-P 4 2'
loop_
_atom_site_label
_atom_site_type_symbol
_atom_site_fract_x
_atom_site_fract_y
_atom_site_fract_z
In1 In 0.000 0.000 0.245
Cu1 Cu 0.500 0.500 0.000
Au1 Au 0.500 0.500 0.500
# ΔE_f (eV per atom): 0.009

Record 6
# LiTi8O13 | Alexandria via LeMat-Bulk | PBEsol | optimized geometry
data_LiTi8O13
_chemical_formula_sum 'Li3 Ti24 O39'
_cell_length_a 7.6760
_cell_length_b 7.6760
_cell_length_c 13.8995
_cell_angle_alpha 90.00
_cell_angle_beta 90.00
_cell_angle_gamma 120.00
_symmetry_space_group_name_H-M 'R -3'
_symmetry_Int_Tables_number 148
_symmetry_space_group_name_Hall '-R 3'
loop_
_atom_site_label
_atom_site_type_symbol
_atom_site_fract_x
_atom_site_fract_y
_atom_site_fract_z
Li1 Li 0.0000 0.0000 0.0000
Ti1 Ti 0.0000 0.0000 0.2289
Ti2 Ti 0.0316 0.2357 0.4193
O1 O 0.0000 0.0000 0.5000
O2 O 0.0353 0.2206 0.6715
O3 O 0.0704 0.2374 0.1596
# ΔE_f (raw) (meV/atom): -2873

Copy entry 5 word for word.
# In2CuAu | Alexandria via LeMat-Bulk | PBEsol | optimized geometry
data_In2CuAu
_chemical_formula_sum 'In2 Cu1 Au1'
_cell_length_a 3.613
_cell_length_b 3.613
_cell_length_c 5.673
_cell_angle_alpha 90.00
_cell_angle_beta 90.00
_cell_angle_gamma 90.00
_symmetry_space_group_name_H-M 'P 4/m m m'
_symmetry_Int_Tables_number 123
_symmetry_space_group_name_Hall '-P 4 2'
loop_
_atom_site_label
_atom_site_type_symbol
_atom_site_fract_x
_atom_site_fract_y
_atom_site_fract_z
In1 In 0.000 0.000 0.245
Cu1 Cu 0.500 0.500 0.000
Au1 Au 0.500 0.500 0.500
# ΔE_f (eV per atom): 0.009